# Sm4GaCo2 | the Alexandria database | GGA-PBE | optimized geometry
# Total magnetization   0.0 μB/cell
# Energy relative to the elements   -14.3 kJ per mole of atoms
# D(E_F)   8.6 states/eV/f.u.
# E   -5.307 eV/atom
data_Sm4GaCo2
_cell_length_a 4.7844
_cell_length_b 4.7844
_cell_length_c 26.0286
_cell_angle_alpha 90.00
_cell_angle_beta 90.00
_cell_angle_gamma 120.00
_space_group_name_H-M_alt 'R -3 m'
_space_group_IT_number 166
_space_group_name_Hall '-R 3 2"'
loop_
_atom_site_label
_atom_site_type_symbol
_atom_site_fract_x
_atom_site_fract_y
_atom_site_fract_z
Sm1 Sm 0.0000 0.0000 0.1160
Sm2 Sm 0.0000 0.0000 0.2951
Ga1 Ga 0.0000 0.0000 0.5000
Co1 Co 0.0000 0.0000 0.4077